No. 1
The following is a PBE-GGA calculation of a relaxed K2HgAu3 crystal, from Alexandria.

The space group is Fddd (No. 70, origin choice 2) and the conventional cell measures 9.6876, 16.8170 and 17.5859 Å, with angles of 90.00, 90.00 and 90.00 degrees. Symmetry generates all atoms from K at (0.1250, 0.1250, 0.0003), K at (0.1250, 0.1250, 0.5015), Hg at (0.1250, 0.2922, 0.1250), Au at (0.1213, 0.2929, 0.8769) and Au at (0.1250, 0.2890, 0.6250).

---

No. 2
The following is a PBE-GGA calculation of a relaxed K4HgAu2 crystal, from Alexandria.

The space group is R-3m (No. 166, hexagonal axes) and the conventional cell measures 5.6230, 5.6230 and 30.9978 Å, with angles of 90.00, 90.00 and 120.00 degrees. Symmetry generates all atoms from K at (0.0000, 0.0000, 0.1174), K at (0.0000, 0.0000, 0.2947), Hg at (0.0000, 0.0000, 0.5000) and Au at (0.0000, 0.0000, 0.4065).

---

No. 3
The following is a PBE-GGA calculation of a relaxed K4Hg2Au crystal, from Alexandria.

The space group is P-1 (No. 2) and the conventional cell measures 7.6273, 8.3895 and 10.4831 Å, with angles of 71.12, 68.71 and 63.29 degrees. Symmetry generates all atoms from K at (0.9996, 0.2259, 0.2736), K at (0.0030, 0.7582, 0.1410), K at (0.4446, 0.7301, 0.3460), K at (0.4989, 0.2978, 0.1956), Hg at (0.0000, 0.5000, 0.5000), Hg at (0.2645, 0.0902, 0.5392), Hg at (0.5000, 0.0000, 0.0000) and Au at (0.2353, 0.4137, 0.9574).

---

No. 4
The following is a PBE-GGA calculation of a relaxed K2HgAu crystal, from Alexandria.

The space group is Imm2 (No. 44) and the conventional cell measures 4.0954, 5.6423 and 11.9174 Å, with angles of 90.00, 90.00 and 90.00 degrees. Symmetry generates all atoms from K at (0.0000, 0.0000, 0.0000), K at (0.0000, 0.5000, 0.2004), Hg at (0.0000, 0.0000, 0.4194) and Au at (0.0000, 0.5000, 0.7440).

---

No. 5
The following is a PBE-GGA calculation of a relaxed K2HgAu crystal, from Alexandria.

The space group is Immm (No. 71) and the conventional cell measures 4.4109, 6.5316 and 13.0970 Å, with angles of 90.00, 90.00 and 90.00 degrees. Symmetry generates all atoms from K at (0.0000, 0.0000, 0.2330), Hg at (0.0000, 0.0000, 0.5000) and Au at (0.0000, 0.0000, 0.0000).

---

No. 6
The following is a PBE-GGA calculation of a relaxed K6Hg12Au crystal, from Alexandria.

The space group is R-3 (No. 148, hexagonal axes) and the conventional cell measures 13.8959, 13.8959 and 11.4014 Å, with angles of 90.00, 90.00 and 120.00 degrees. Symmetry generates all atoms from K at (0.0473, 0.1908, 0.2513), Hg at (0.0523, 0.2463, 0.5493), Hg at (0.0681, 0.2464, 0.9429) and Au at (0.0000, 0.0000, 0.5000).

---

No. 7
The following is a PBE-GGA calculation of a relaxed K4HgAu crystal, from Alexandria.

The space group is P4/mmm (No. 123) and the conventional cell measures 5.7793, 5.7793 and 8.2919 Å, with angles of 90.00, 90.00 and 90.00 degrees. Symmetry generates all atoms from K at (0.0000, 0.5000, 0.2364), Hg at (0.0000, 0.0000, 0.5000) and Au at (0.5000, 0.5000, 0.0000).

---

No. 8
The following is a PBE-GGA calculation of a relaxed K8Hg3Au2 crystal, from Alexandria.

The space group is Cmmm (No. 65) and the conventional cell measures 10.1043, 17.3234 and 6.1610 Å, with angles of 90.00, 90.00 and 90.00 degrees. Symmetry generates all atoms from K at (0.0000, 0.1062, 0.0000), K at (0.0000, 0.3115, 0.0000), K at (0.2126, 0.3783, 0.5000), Hg at (0.0000, 0.0000, 0.5000), Hg at (0.1519, 0.5000, 0.0000) and Au at (0.0000, 0.2152, 0.5000).

---

So what do the calculations give for calculated formation energy? Going down the list: -0.2675, -0.2612, -0.2315, -0.2554, 0.1469, -0.1980, -0.1578, -0.1861 eV per atom.
So what do the calculations give for energy? Going down the list: -222.938, -39.225, -19.783, -13.591, -10.373, -51.736, -8.916, -37.320 eV/cell.
So what do the calculations give for density of states at the Fermi level? Going down the list: 0.2311, 0.4878, 0.3990, 0.4350, 0.2958, 0.5327, 1.0322, 0.4651 states/eV per atom.